Density functional theory data (PBE) for crystalline TaHW at its relaxed geometry.

Lattice parameters (Å, degrees): 2.974 4.902 7.003 51.14 77.74 72.34
Element x y z (fractional)
H1 0.073 0.050 0.804
H2 0.927 0.950 0.196
W1 0.369 0.873 0.388
W2 0.631 0.127 0.612
Ta1 0.868 0.401 0.863
Ta2 0.132 0.599 0.137

Output
SG	C2/m, No. 12
final energy	-55.46	eV/cell